# TbLuI2 (PBE-GGA, optimized geometry)
# VASP energy	-14.67	eV for the cell shown
# ΔE_f (raw)	-605	meV/atom
# M_tot	0.00	Bohr magnetons per cell
data_TbLuI2
_chemical_formula_sum 'Tb1 Lu1 I2'
_symmetry_space_group_name_H-M 'P 1'
_symmetry_Int_Tables_number 1
_symmetry_space_group_name_Hall 'P 1'
_cell_length_a 3.825
_cell_length_b 3.825
_cell_length_c 10.825
_cell_angle_alpha 79.82
_cell_angle_beta 79.82
_cell_angle_gamma 60.00
loop_
_atom_site_label
_atom_site_type_symbol
_atom_site_fract_x
_atom_site_fract_y
_atom_site_fract_z
I1 I 0.904 0.904 0.289
I2 I 0.096 0.096 0.711
Lu1 Lu 0.000 0.000 0.000
Tb1 Tb 0.500 0.500 0.500